Below is a relaxed structure of NiPdF3, with properties calculated at the GGA+U level.

a b c (Å): 4.0007 4.0007 4.0007
angles (deg): 90.00 90.00 90.00
Space group Pm-3m (No. 221)
Asymmetric unit:
Ni  0.0000  0.0000  0.0000 [1 per cell]
Pd  0.5000  0.5000  0.5000 [1 per cell]
F  0.0000  0.0000  0.5000 [3 per cell]

Calculated values
ΔE to the lowest computed polymorph = 0 meV/atom
DOS(E_F) = 1.312 states/eV per atom
Total DFT energy (no corrections) = -19.7 eV/f.u.